A geometry-optimized Np3Pa2MnN6 structure, computed with GGA-PBE.

Cell: 5.905 5.905 5.960 Å, 99.46 99.46 120.15°
Positions (direct):
Np  0.161  0.839  0.500
Np  0.839  0.161  0.500
Np  0.500  0.500  0.500
Pa  0.333  0.667  0.000
Pa  0.667  0.333  0.000
Mn  0.000  0.000  0.000
N  0.916  0.584  0.752
N  0.753  0.753  0.244
N  0.084  0.416  0.248
N  0.584  0.916  0.752
N  0.247  0.247  0.756
N  0.416  0.084  0.248

Calculated total energy = -129.74 eV per cell
SG = C2/m, No. 12
E_form (uncorrected) = -1067 meV/atom
N(E_F) = 20.61 states/eV/cell
Spin magnetization = 13.56 Bohr magnetons per cell